(1)
A plane-wave DFT calculation with PBE was carried out for a relaxed structure of TlCrHg2.

a b c (Å): 5.480 5.480 5.156
angles (deg): 73.64 73.64 39.61
Fractional coordinates of all 4 atoms:
Hg 0.986 0.986 0.021
Hg 0.746 0.746 0.761
Cr 0.256 0.256 0.230
Tl 0.512 0.512 0.488

## Properties
Space-group type: Cm (8)
DFT formation energy (eV per formula unit): 1.53

=====

(2)
A plane-wave DFT calculation with PBE was carried out for a relaxed structure of TlCrHg2.

a b c (Å): 3.381 3.764 7.399
angles (deg): 90.00 90.00 90.00
Fractional coordinates of all 4 atoms:
Hg 0.500 0.500 0.231
Hg 0.000 0.000 0.969
Tl 0.000 0.000 0.523
Cr 0.500 0.500 0.776

## Properties
Space-group type: Pmm2 (25)
DFT formation energy (eV per formula unit): 1.44

=====

(3)
A plane-wave DFT calculation with PBE was carried out for a relaxed structure of TlV2CrHg.

a b c (Å): 5.119 4.949 5.119
angles (deg): 90.00 90.00 90.00
Fractional coordinates of all 5 atoms:
V 0.500 0.000 0.000
V 0.000 0.000 0.500
Hg 0.500 0.500 0.500
Tl 0.000 0.000 0.000
Cr 0.000 0.500 0.000

## Properties
Space-group type: P4/mmm (123)
DFT formation energy (eV per formula unit): 9.54

=====

(4)
A plane-wave DFT calculation with PBE was carried out for a relaxed structure of TlZn2CrHg.

a b c (Å): 5.048 5.395 5.048
angles (deg): 90.00 90.00 90.00
Fractional coordinates of all 5 atoms:
Tl 0.000 0.500 0.000
Zn 0.000 0.000 0.500
Zn 0.500 0.000 0.000
Hg 0.500 0.500 0.500
Cr 0.000 0.000 0.000

## Properties
Space-group type: P4/mmm (123)
DFT formation energy (eV per formula unit): 2.80

=====

(5)
A plane-wave DFT calculation with PBE was carried out for a relaxed structure of VCr2Hg2.

a b c (Å): 4.078 4.078 6.191
angles (deg): 70.77 70.77 90.00
Fractional coordinates of all 5 atoms:
Cr 0.583 0.583 0.834
Cr 0.417 0.417 0.166
Hg 0.750 0.250 0.500
Hg 0.250 0.750 0.500
V 0.000 0.000 0.000

## Properties
Space-group type: I4/mmm (139)
Energy above the lowest structure with this stoichiometry (meV/atom): 176.3
DFT formation energy (eV per formula unit): 4.22

=====

(6)
A plane-wave DFT calculation with PBE was carried out for a relaxed structure of V3CrHg.

a b c (Å): 4.363 4.363 4.363
angles (deg): 90.00 90.00 90.00
Fractional coordinates of all 5 atoms:
Hg 0.500 0.500 0.500
V 0.000 0.500 0.000
V 0.500 0.000 0.000
V 0.000 0.000 0.500
Cr 0.000 0.000 0.000

## Properties
Space-group type: Pm-3m (221)
Energy above the lowest structure with this stoichiometry (meV/atom): 0.0
DFT formation energy (eV per formula unit): 4.17

=====

(7)
A plane-wave DFT calculation with PBE was carried out for a relaxed structure of VCrHg3.

a b c (Å): 5.250 5.250 5.250
angles (deg): 90.00 90.00 90.00
Fractional coordinates of all 5 atoms:
Hg 0.000 0.000 0.500
Hg 0.500 0.000 0.000
Hg 0.000 0.500 0.000
V 0.000 0.000 0.000
Cr 0.500 0.500 0.500

## Properties
Space-group type: Pm-3m (221)
Energy above the lowest structure with this stoichiometry (meV/atom): 0.0
DFT formation energy (eV per formula unit): 5.02

=====

(8)
A plane-wave DFT calculation with PBE was carried out for a relaxed structure of VCr2Hg2.

a b c (Å): 6.101 6.101 4.388
angles (deg): 90.00 90.00 90.00
Fractional coordinates of all 10 atoms:
Hg 0.677 0.823 0.500
Hg 0.177 0.677 0.500
Hg 0.323 0.177 0.500
Hg 0.823 0.323 0.500
Cr 0.872 0.628 0.000
Cr 0.128 0.372 0.000
Cr 0.372 0.872 0.000
Cr 0.628 0.128 0.000
V 0.500 0.500 0.000
V 0.000 0.000 0.000

## Properties
Space-group type: P4/mbm (127)
Energy above the lowest structure with this stoichiometry (meV/atom): 0.0
DFT formation energy (eV per formula unit): 3.34

=====

(9)
A plane-wave DFT calculation with PBE was carried out for a relaxed structure of V2CrHg.

a b c (Å): 2.999 2.999 6.602
angles (deg): 90.00 90.00 90.00
Fractional coordinates of all 4 atoms:
Hg 0.500 0.500 0.500
V 0.000 0.000 0.202
V 0.000 0.000 0.798
Cr 0.500 0.500 0.000

## Properties
Space-group type: P4/mmm (123)
DFT formation energy (eV per formula unit): 0.69

=====

(10)
A plane-wave DFT calculation with PBE was carried out for a relaxed structure of VCrHg2.

a b c (Å): 4.729 4.729 4.729
angles (deg): 60.00 60.00 60.00
Fractional coordinates of all 4 atoms:
Hg 0.250 0.250 0.250
Hg 0.750 0.750 0.750
Cr 0.500 0.500 0.500
V 0.000 0.000 0.000

## Properties
Space-group type: Fm-3m (225)
DFT formation energy (eV per formula unit): 2.13

=====

(11)
A plane-wave DFT calculation with PBE was carried out for a relaxed structure of V2CrHg.

a b c (Å): 3.779 3.779 9.780
angles (deg): 78.86 78.86 90.00
Fractional coordinates of all 8 atoms:
Cr 0.500 0.500 0.000
Cr 0.250 0.750 0.500
V 0.875 0.853 0.750
V 0.147 0.625 0.250
V 0.603 0.125 0.250
V 0.375 0.397 0.750
Hg 0.750 0.250 0.500
Hg 0.000 0.000 0.000

## Properties
Space-group type: I-42d (122)
DFT formation energy (eV per formula unit): 3.26

=====

(12)
A plane-wave DFT calculation with PBE was carried out for a relaxed structure of CrHgW4.

a b c (Å): 5.271 5.271 5.271
angles (deg): 60.00 60.00 60.00
Fractional coordinates of all 6 atoms:
Hg 0.000 0.000 0.000
W 0.374 0.374 0.374
W 0.877 0.374 0.374
W 0.374 0.374 0.877
W 0.374 0.877 0.374
Cr 0.750 0.750 0.750

## Properties
Space-group type: F-43m (216)
DFT formation energy (eV per formula unit): 4.52

=====

(13)
A plane-wave DFT calculation with PBE was carried out for a relaxed structure of CrHg3W.

a b c (Å): 5.190 5.190 5.190
angles (deg): 90.00 90.00 90.00
Fractional coordinates of all 5 atoms:
W 0.500 0.500 0.500
Cr 0.000 0.000 0.000
Hg 0.000 0.000 0.500
Hg 0.000 0.500 0.000
Hg 0.500 0.000 0.000

## Properties
Space-group type: Pm-3m (221)
Energy above the lowest structure with this stoichiometry (meV/atom): 0.0
DFT formation energy (eV per formula unit): 8.34

=====

(14)
A plane-wave DFT calculation with PBE was carried out for a relaxed structure of CrHg2W.

a b c (Å): 2.913 2.913 9.629
angles (deg): 90.00 90.00 115.15
Fractional coordinates of all 4 atoms:
Cr 0.500 0.500 0.723
Hg 0.500 0.500 0.268
Hg 0.000 0.000 0.972
W 0.000 0.000 0.538

## Properties
Space-group type: Cmm2 (35)
Energy above the lowest structure with this stoichiometry (meV/atom): 33.3
DFT formation energy (eV per formula unit): 2.08

=====

(15)
A plane-wave DFT calculation with PBE was carried out for a relaxed structure of CrHg2W.

a b c (Å): 9.582 9.582 9.582
angles (deg): 18.34 18.34 18.34
Fractional coordinates of all 4 atoms:
Hg 0.242 0.242 0.242
Hg 0.011 0.011 0.011
W 0.485 0.485 0.485
Cr 0.761 0.761 0.761

## Properties
Space-group type: R3m (160)
Energy above the lowest structure with this stoichiometry (meV/atom): 0.0
DFT formation energy (eV per formula unit): 1.95

=====

(16)
A plane-wave DFT calculation with PBE was carried out for a relaxed structure of CrHgW.

a b c (Å): 5.378 5.378 5.378
angles (deg): 145.64 145.64 49.38
Fractional coordinates of all 3 atoms:
Hg 0.662 0.662 0.000
Cr 0.976 0.976 0.000
W 0.362 0.362 0.000

## Properties
Space-group type: I4mm (107)
Energy above the lowest structure with this stoichiometry (meV/atom): 0.0
DFT formation energy (eV per formula unit): 1.71

=====

(17)
A plane-wave DFT calculation with PBE was carried out for a relaxed structure of CrHgW.

a b c (Å): 7.279 7.062 2.823
angles (deg): 83.00 74.36 22.64
Fractional coordinates of all 3 atoms:
Cr 0.986 0.986 0.014
W 0.352 0.352 0.648
Hg 0.662 0.662 0.338

## Properties
Space-group type: Fmm2 (42)
Energy above the lowest structure with this stoichiometry (meV/atom): 17.2
DFT formation energy (eV per formula unit): 1.76

=====

(18)
A plane-wave DFT calculation with PBE was carried out for a relaxed structure of CrHg2W.

a b c (Å): 5.099 5.099 5.186
angles (deg): 79.53 79.53 33.27
Fractional coordinates of all 4 atoms:
W 0.515 0.515 0.478
Hg 0.991 0.991 0.005
Hg 0.757 0.757 0.741
Cr 0.236 0.236 0.276

## Properties
Space-group type: Cm (8)
Energy above the lowest structure with this stoichiometry (meV/atom): 263.9
DFT formation energy (eV per formula unit): 3.00

=====

(19)
A plane-wave DFT calculation with PBE was carried out for a relaxed structure of CrHg2W.

a b c (Å): 4.682 4.682 4.682
angles (deg): 60.00 60.00 60.00
Fractional coordinates of all 4 atoms:
Hg 0.000 0.000 0.000
Hg 0.250 0.250 0.250
Cr 0.500 0.500 0.500
W 0.750 0.750 0.750

## Properties
Space-group type: F-43m (216)
Energy above the lowest structure with this stoichiometry (meV/atom): 451.6
DFT formation energy (eV per formula unit): 3.75

=====

(20)
A plane-wave DFT calculation with PBE was carried out for a relaxed structure of CrHg2W.

a b c (Å): 3.988 4.056 4.406
angles (deg): 90.00 90.00 90.00
Fractional coordinates of all 4 atoms:
Hg 0.000 0.000 0.000
Hg 0.500 0.500 0.000
W 0.500 0.000 0.500
Cr 0.000 0.500 0.500

## Properties
Space-group type: Pmmm (47)
Energy above the lowest structure with this stoichiometry (meV/atom): 348.3
DFT formation energy (eV per formula unit): 3.34

=====

(21)
A plane-wave DFT calculation with PBE was carried out for a relaxed structure of CrHg2W.

a b c (Å): 5.073 5.073 5.073
angles (deg): 131.72 131.72 70.68
Fractional coordinates of all 4 atoms:
Cr 0.750 0.250 0.500
W 0.500 0.500 0.000
Hg 0.250 0.750 0.500
Hg 0.000 0.000 0.000

## Properties
Space-group type: I-4m2 (119)
Energy above the lowest structure with this stoichiometry (meV/atom): 369.1
DFT formation energy (eV per formula unit): 3.42

=====

(22)
A plane-wave DFT calculation with PBE was carried out for a relaxed structure of CrHg2W.

a b c (Å): 2.899 2.899 8.642
angles (deg): 90.00 90.00 90.00
Fractional coordinates of all 4 atoms:
Hg 0.000 0.000 0.991
Hg 0.000 0.000 0.509
Cr 0.500 0.500 0.750
W 0.500 0.500 0.250

## Properties
Space-group type: P4/mmm (123)
Energy above the lowest structure with this stoichiometry (meV/atom): 270.5
DFT formation energy (eV per formula unit): 3.03

=====

(23)
A plane-wave DFT calculation with PBE was carried out for a relaxed structure of CrHg2W.

a b c (Å): 4.306 2.927 6.440
angles (deg): 62.94 90.00 90.00
Fractional coordinates of all 4 atoms:
Hg 0.000 0.002 0.998
Hg 0.000 0.498 0.502
W 0.500 0.250 0.250
Cr 0.500 0.750 0.750

## Properties
Space-group type: Pmmm (47)
Energy above the lowest structure with this stoichiometry (meV/atom): 305.5
DFT formation energy (eV per formula unit): 3.17

=====

(24)
A plane-wave DFT calculation with PBE was carried out for a relaxed structure of CrHgW.

a b c (Å): 4.911 4.911 4.911
angles (deg): 147.94 129.40 61.17
Fractional coordinates of all 3 atoms:
Cr 0.999 0.999 0.000
Hg 0.665 0.665 0.000
W 0.336 0.336 0.000

## Properties
Space-group type: Imm2 (44)
Energy above the lowest structure with this stoichiometry (meV/atom): 183.9
DFT formation energy (eV per formula unit): 2.26

=====

(25)
A plane-wave DFT calculation with PBE was carried out for a relaxed structure of Cr4HgW.

a b c (Å): 4.871 4.871 4.871
angles (deg): 60.00 60.00 60.00
Fractional coordinates of all 6 atoms:
Cr 0.624 0.624 0.624
Cr 0.624 0.624 0.128
Cr 0.624 0.128 0.624
Cr 0.128 0.624 0.624
W 0.000 0.000 0.000
Hg 0.250 0.250 0.250

## Properties
Space-group type: F-43m (216)
DFT formation energy (eV per formula unit): 1.84

=====

(26)
A plane-wave DFT calculation with PBE was carried out for a relaxed structure of CrHg2W.

a b c (Å): 9.487 9.487 9.487
angles (deg): 18.33 18.33 18.33
Fractional coordinates of all 4 atoms:
Hg 0.497 0.497 0.497
Hg 0.003 0.003 0.003
Cr 0.750 0.750 0.750
W 0.250 0.250 0.250

## Properties
Space-group type: R-3m (166)
Energy above the lowest structure with this stoichiometry (meV/atom): 291.3
DFT formation energy (eV per formula unit): 3.11

=====

(27)
A plane-wave DFT calculation with PBE was carried out for a relaxed structure of CrHg2W.

a b c (Å): 4.951 4.951 3.013
angles (deg): 90.00 90.00 90.00
Fractional coordinates of all 4 atoms:
Cr 0.000 0.500 0.500
Hg 0.000 0.000 0.000
Hg 0.500 0.500 0.000
W 0.500 0.000 0.500

## Properties
Space-group type: P4/mmm (123)
Energy above the lowest structure with this stoichiometry (meV/atom): 362.5
DFT formation energy (eV per formula unit): 3.40

=====

(28)
A plane-wave DFT calculation with PBE was carried out for a relaxed structure of CrHg2W.

a b c (Å): 5.644 5.644 5.644
angles (deg): 148.35 129.11 61.18
Fractional coordinates of all 4 atoms:
Cr 0.280 0.780 0.500
Hg 0.740 0.240 0.500
Hg 0.020 0.020 0.000
W 0.460 0.460 0.000

## Properties
Space-group type: Imm2 (44)
Energy above the lowest structure with this stoichiometry (meV/atom): 195.2
DFT formation energy (eV per formula unit): 2.73

=====

(29)
A plane-wave DFT calculation with PBE was carried out for a relaxed structure of CrHgW.

a b c (Å): 4.283 4.283 4.283
angles (deg): 60.00 60.00 60.00
Fractional coordinates of all 3 atoms:
Hg 0.000 0.000 0.000
W 0.500 0.500 0.500
Cr 0.250 0.250 0.250

## Properties
Space-group type: F-43m (216)
Energy above the lowest structure with this stoichiometry (meV/atom): 557.3
DFT formation energy (eV per formula unit): 3.38

=====

(30)
A plane-wave DFT calculation with PBE was carried out for a relaxed structure of CrHgW.

a b c (Å): 6.644 6.644 6.644
angles (deg): 155.31 155.31 35.19
Fractional coordinates of all 3 atoms:
Hg 0.337 0.337 0.000
W 0.654 0.654 0.000
Cr 0.009 0.009 0.000

## Properties
Space-group type: I4mm (107)
Energy above the lowest structure with this stoichiometry (meV/atom): 76.8
DFT formation energy (eV per formula unit): 1.94